The following is a GGA+U calculation of a relaxed structure of NaMo2O4, from the Alexandria database.

Results
* calculated total energy: -6.7528 eV per atom
* magnetization: 5.00 μB/f.u.

Lattice parameters (Å, degrees): 9.081 9.092 6.489 90.00 133.17 90.00
Space group C2/c (No. 15)
One atom of each set of equivalent atoms:
Na: 0.000 0.126 0.250
Mo: 0.000 0.500 0.000
Mo: 0.250 0.250 0.000
O: 0.010 0.275 0.543
O: 0.206 0.490 0.956